DFT (PBE) results for Sr5TeSe4 after structural relaxation.

Calculated values
* crystal system: tetragonal
* total DFT energy (no corrections): -4.540 eV per atom
* SG: No. 87
* N(E_F): 0.00 states/eV per cell
* formation energy without anion corrections: -45.93 kcal/mol of atoms
* size of the total moment: 0.000 μB/cell

Unit cell a=6.400 b=7.820 c=7.820 alpha=80.36 beta=65.84 gamma=65.84
Sites, in units of the cell vectors:
Sr1 0.501 0.000 0.000
Sr2 0.106 0.586 0.204
Se1 0.399 0.403 0.802
Sr3 0.310 0.796 0.586
Sr4 0.896 0.414 0.796
Se2 0.200 0.198 0.403
Se3 0.802 0.802 0.597
Sr5 0.692 0.204 0.414
Te1 0.001 0.000 0.000
Se4 0.603 0.597 0.198



DFT (PBE) results for CaZnPbF6 after structural relaxation.

Calculated values
* crystal system: trigonal
* total DFT energy (no corrections): -4.879 eV per atom
* SG: No. 163
* N(E_F): 0.00 states/eV per cell
* formation energy without anion corrections: -65.84 kcal/mol of atoms
* size of the total moment: 0.000 μB/cell

Unit cell a=5.740 b=5.740 c=10.338 alpha=90.00 beta=90.00 gamma=120.00
Sites, in units of the cell vectors:
F1 0.657 0.631 0.140
F2 0.974 0.631 0.360
F3 0.026 0.369 0.640
F4 0.369 0.343 0.360
F5 0.657 0.026 0.360
Zn1 0.667 0.333 0.250
Zn2 0.333 0.667 0.750
F6 0.631 0.657 0.640
F7 0.026 0.657 0.860
Pb1 0.000 0.000 0.500
Pb2 0.000 0.000 0.000
F8 0.631 0.974 0.860
F9 0.974 0.343 0.140
F10 0.343 0.369 0.860
Ca1 0.333 0.667 0.250
F11 0.369 0.026 0.140
Ca2 0.667 0.333 0.750
F12 0.343 0.974 0.640



DFT (PBE) results for MgSiW after structural relaxation.

Calculated values
* crystal system: orthorhombic
* total DFT energy (no corrections): -6.425 eV per atom
* SG: No. 42
* N(E_F): 1.21 states/eV per cell
* formation energy without anion corrections: 5.34 kcal/mol of atoms
* size of the total moment: 0.000 μB/cell

Unit cell a=6.850 b=6.688 c=2.812 alpha=81.26 beta=74.80 gamma=23.94
Sites, in units of the cell vectors:
W1 0.322 0.322 0.678
Si1 0.678 0.678 0.322
Mg1 0.000 0.000 0.000



DFT (PBE) results for HfTlOs2S after structural relaxation.

Calculated values
* crystal system: tetragonal
* total DFT energy (no corrections): -6.358 eV per atom
* SG: No. 123
* N(E_F): 5.83 states/eV per cell
* formation energy without anion corrections: 32.82 kcal/mol of atoms
* size of the total moment: 3.757 μB/cell

Unit cell a=5.039 b=4.876 c=5.039 alpha=90.00 beta=90.00 gamma=90.00
Sites, in units of the cell vectors:
Hf1 0.000 0.000 0.000
S1 0.000 0.500 0.000
Os1 0.000 0.000 0.500
Os2 0.500 0.000 0.000
Tl1 0.500 0.500 0.500



DFT (PBE) results for GeOsSe2 after structural relaxation.

Calculated values
* crystal system: tetragonal
* total DFT energy (no corrections): -5.283 eV per atom
* SG: No. 122
* N(E_F): 3.64 states/eV per cell
* formation energy without anion corrections: 9.72 kcal/mol of atoms
* size of the total moment: 0.000 μB/cell

Unit cell a=6.175 b=6.175 c=6.802 alpha=63.01 beta=63.01 gamma=90.00
Sites, in units of the cell vectors:
Ge1 0.500 0.500 0.000
Os1 0.000 0.000 0.000
Se1 0.375 0.331 0.750
Se2 0.669 0.125 0.250
Ge2 0.250 0.750 0.500
Se3 0.081 0.625 0.250
Os2 0.750 0.250 0.500
Se4 0.875 0.919 0.750



DFT (PBE) results for CdNiPb3 after structural relaxation.

Calculated values
* crystal system: cubic
* energy above the lowest structure with this stoichiometry: 4.205 eV per formula unit
* total DFT energy (no corrections): -2.569 eV per atom
* SG: No. 221
* N(E_F): 6.58 states/eV per cell
* calculated formation energy: 480 kJ/mol of formula units
* size of the total moment: 0.396 μB/cell

Unit cell a=5.615 b=5.615 c=5.615 alpha=90.00 beta=90.00 gamma=90.00
Sites, in units of the cell vectors:
Ni1 0.500 0.500 0.500
Pb1 0.500 0.000 0.000
Pb2 0.000 0.500 0.000
Cd1 0.000 0.000 0.000
Pb3 0.000 0.000 0.500



DFT (PBE) results for CuReO2 after structural relaxation.

Calculated values
* crystal system: tetragonal
* energy above the lowest structure with this stoichiometry: 1.758 eV per formula unit
* total DFT energy (no corrections): -6.891 eV per atom
* SG: No. 122
* N(E_F): 1.43 states/eV per cell
* formation energy without anion corrections: -6.35 kcal/mol of atoms
* size of the total moment: 0.000 μB/cell

Unit cell a=3.928 b=3.928 c=6.722 alpha=73.01 beta=73.01 gamma=90.00
Sites, in units of the cell vectors:
O1 0.676 0.125 0.250
O2 0.875 0.926 0.750
Re1 0.000 0.000 0.000
Re2 0.750 0.250 0.500
Cu1 0.250 0.750 0.500
O3 0.375 0.324 0.750
O4 0.074 0.625 0.250
Cu2 0.500 0.500 0.000



DFT (PBE) results for SiNiRh2 after structural relaxation.

Calculated values
* crystal system: trigonal
* total DFT energy (no corrections): -6.691 eV per atom
* SG: No. 160
* N(E_F): 4.56 states/eV per cell
* formation energy without anion corrections: -4.93 kcal/mol of atoms
* size of the total moment: 1.137 μB/cell

Unit cell a=8.185 b=8.185 c=8.185 alpha=19.32 beta=19.32 gamma=19.32
Sites, in units of the cell vectors:
Rh1 0.003 0.003 0.003
Si1 0.497 0.497 0.497
Ni1 0.758 0.758 0.758
Rh2 0.241 0.241 0.241



Which formula does entry 8 have?
SiNiRh2